# PBE YSnC3, optimized geometry
# energy above the lowest structure with this stoichiometry = 0.000 eV/atom
# formation energy = 1.885 eV/atom
# density = 5.2 g/cm3
data_YSnC3
_space_group_name_H-M_alt 'P m -3 m'
_space_group_IT_number 221
_space_group_name_Hall '-P 4 2 3'
_cell_length_a 4.2599
_cell_length_b 4.2599
_cell_length_c 4.2599
_cell_angle_alpha 90.00
_cell_angle_beta 90.00
_cell_angle_gamma 90.00
loop_
_atom_site_label
_atom_site_fract_x
_atom_site_fract_y
_atom_site_fract_z
_atom_site_occupancy
Y1 0.0000 0.0000 0.0000 1
Sn1 0.5000 0.5000 0.5000 1
C1 0.0000 0.5000 0.5000 1

# PBE YSn3C, optimized geometry
# energy above the lowest structure with this stoichiometry = 1.306 eV/atom
# formation energy = 1.852 eV/atom
# density = 3.8 g/cm3
data_YSn3C
_space_group_name_H-M_alt 'P m -3 m'
_space_group_IT_number 221
_space_group_name_Hall '-P 4 2 3'
_cell_length_a 5.8453
_cell_length_b 5.8453
_cell_length_c 5.8453
_cell_angle_alpha 90.00
_cell_angle_beta 90.00
_cell_angle_gamma 90.00
loop_
_atom_site_label
_atom_site_fract_x
_atom_site_fract_y
_atom_site_fract_z
_atom_site_occupancy
Y1 0.0000 0.0000 0.0000 1
Sn1 0.0000 0.0000 0.5000 1
C1 0.5000 0.5000 0.5000 1

# PBE Y4Sn2C, optimized geometry
# energy above the lowest structure with this stoichiometry = 0.174 eV/atom
# formation energy = -0.522 eV/atom
# density = 5.3 g/cm3
data_Y4Sn2C
_space_group_name_H-M_alt 'P 1 21/m 1'
_space_group_IT_number 11
_space_group_name_Hall '-P 2yb'
_cell_length_a 6.4930
_cell_length_b 6.7585
_cell_length_c 9.2204
_cell_angle_alpha 90.00
_cell_angle_beta 109.87
_cell_angle_gamma 90.00
loop_
_atom_site_label
_atom_site_fract_x
_atom_site_fract_y
_atom_site_fract_z
_atom_site_occupancy
Y1 0.1748 0.2500 0.0618 1
Y2 0.2425 0.0009 0.7305 1
Y3 0.2801 0.7500 0.3489 1
Sn1 0.2245 0.2500 0.4205 1
Sn2 0.3486 0.7500 0.0337 1
C1 0.0740 0.2500 0.8025 1

# PBE Y4SnC, optimized geometry
# formation energy = -0.241 eV/atom
# density = 4.7 g/cm3
data_Y4SnC
_space_group_name_H-M_alt 'P 1 21/m 1'
_space_group_IT_number 11
_space_group_name_Hall '-P 2yb'
_cell_length_a 6.0488
_cell_length_b 9.6758
_cell_length_c 6.0658
_cell_angle_alpha 90.00
_cell_angle_beta 102.10
_cell_angle_gamma 90.00
loop_
_atom_site_label
_atom_site_fract_x
_atom_site_fract_y
_atom_site_fract_z
_atom_site_occupancy
Y1 0.1279 0.2500 0.2287 1
Y2 0.2577 0.0490 0.7560 1
Y3 0.2704 0.7500 0.3739 1
Sn1 0.4080 0.7500 0.9099 1
C1 0.1007 0.2500 0.5987 1

# PBE YSn2C, optimized geometry
# formation energy = 0.392 eV/atom
# density = 6.3 g/cm3
data_YSn2C
_space_group_name_H-M_alt 'I -4 2 d'
_space_group_IT_number 122
_space_group_name_Hall 'I -4 2bw'
_cell_length_a 7.1154
_cell_length_b 7.1154
_cell_length_c 7.0447
_cell_angle_alpha 90.00
_cell_angle_beta 90.00
_cell_angle_gamma 90.00
loop_
_atom_site_label
_atom_site_fract_x
_atom_site_fract_y
_atom_site_fract_z
_atom_site_occupancy
Y1 0.0000 0.0000 0.0000 1
Sn1 0.1588 0.2500 0.6250 1
C1 0.0000 0.0000 0.5000 1

# PBE Y7Sn3C2, optimized geometry
# formation energy = -0.685 eV/atom
# density = 5.5 g/cm3
data_Y7Sn3C2
_space_group_name_H-M_alt 'I 4/m m m'
_space_group_IT_number 139
_space_group_name_Hall '-I 4 2'
_cell_length_a 4.8579
_cell_length_b 4.8579
_cell_length_c 25.6000
_cell_angle_alpha 90.00
_cell_angle_beta 90.00
_cell_angle_gamma 90.00
loop_
_atom_site_label
_atom_site_fract_x
_atom_site_fract_y
_atom_site_fract_z
_atom_site_occupancy
Y1 0.0000 0.0000 0.0000 1
Y2 0.0000 0.0000 0.1947 1
Y3 0.0000 0.5000 0.0957 1
Sn1 0.0000 0.0000 0.3189 1
Sn2 0.0000 0.0000 0.5000 1
C1 0.0000 0.0000 0.0973 1

# PBE Y2ZnSnC, optimized geometry
# formation energy = -0.418 eV/atom
# density = 6.0 g/cm3
data_Y2ZnSnC
_space_group_name_H-M_alt 'P 4/m m m'
_space_group_IT_number 123
_space_group_name_Hall '-P 4 2'
_cell_length_a 5.0344
_cell_length_b 5.0344
_cell_length_c 4.0661
_cell_angle_alpha 90.00
_cell_angle_beta 90.00
_cell_angle_gamma 90.00
loop_
_atom_site_label
_atom_site_fract_x
_atom_site_fract_y
_atom_site_fract_z
_atom_site_occupancy
Y1 0.0000 0.5000 0.0000 1
Zn1 0.0000 0.0000 0.5000 1
Sn1 0.5000 0.5000 0.5000 1
C1 0.0000 0.0000 0.0000 1

# PBE Y2ZrSnC, optimized geometry
# formation energy = -0.590 eV/atom
# density = 6.0 g/cm3
data_Y2ZrSnC
_space_group_name_H-M_alt 'P 4/m m m'
_space_group_IT_number 123
_space_group_name_Hall '-P 4 2'
_cell_length_a 4.8833
_cell_length_b 4.8833
_cell_length_c 4.6041
_cell_angle_alpha 90.00
_cell_angle_beta 90.00
_cell_angle_gamma 90.00
loop_
_atom_site_label
_atom_site_fract_x
_atom_site_fract_y
_atom_site_fract_z
_atom_site_occupancy
Y1 0.0000 0.5000 0.0000 1
Zr1 0.0000 0.0000 0.5000 1
Sn1 0.5000 0.5000 0.5000 1
C1 0.0000 0.0000 0.0000 1